## CoTePb2O6 (PBE+U)

Data for CoTePb2O6 after structural relaxation.

Properties
Its calculated total energy is -5.6039 eV/atom. The calculation puts the total magnetization at 3.00 μB/cell. The crystal system is tetragonal. The calculation puts the energy above the most stable polymorph in this dataset at 10 meV per atom.

The structure in CIF format:
```
data_CoTePb2O6
_space_group_name_H-M_alt 'P 1'
_space_group_IT_number 1
_space_group_name_Hall 'P 1'
_cell_length_a 5.7588
_cell_length_b 5.7588
_cell_length_c 5.7588
_cell_angle_alpha 122.29
_cell_angle_beta 122.29
_cell_angle_gamma 86.08
loop_
_atom_site_label
_atom_site_type_symbol
_atom_site_fract_x
_atom_site_fract_y
_atom_site_fract_z
Te1 Te 0.5000 0.5000 0.0000
Pb1 Pb 0.7500 0.2500 0.5000
O1 O 0.2101 0.3031 0.5132
Co1 Co 0.0000 0.0000 0.0000
O2 O 0.6969 0.2101 0.9070
O3 O 0.7899 0.6969 0.4868
O4 O 0.3031 0.7899 0.0930
O5 O 0.2678 0.2678 0.0000
O6 O 0.7322 0.7322 0.0000
Pb2 Pb 0.2500 0.7500 0.5000
```